Compound: PmHo2ErTm2
Source: Alexandria via LeMat-Bulk
Functional: PBE
Structure: optimized geometry

Output
The calculation puts the formation energy at 0.1671 eV/atom. For the total DFT energy (no corrections), the calculation gives -26.410 eV/f.u.

```
PmHo2ErTm2
1.0
6.899 0.000 0.000
0.000 15.935 0.000
0.000 0.000 3.494
Pm Ho Er Tm
2 4 2 4
Cartesian
0.000 0.000 0.000
3.450 7.968 1.747
1.719 5.449 0.000
1.730 13.417 1.747
5.169 2.519 1.747
5.180 10.486 0.000
0.000 7.968 1.747
3.450 0.000 0.000
1.726 2.473 1.747
1.724 10.440 0.000
5.175 5.495 0.000
5.174 13.463 1.747
```

=====

Compound: ReSbTe2Pt
Source: Alexandria via LeMat-Bulk
Functional: PBE
Structure: optimized geometry

Output
The value obtained for the excess energy over the best structure of this formula in the dataset is 0.000 eV per atom. For the total DFT energy (no corrections), the calculation gives -23.742 eV/f.u.

```
ReSbTe2Pt
1.0
5.132 0.000 0.000
0.000 5.132 0.000
0.000 0.000 5.154
Re Sb Te Pt
1 1 2 1
Cartesian
0.000 0.000 0.000
0.000 0.000 2.577
0.000 2.566 0.000
2.566 0.000 0.000
2.566 2.566 2.577
```

=====

Compound: Nd6SnRu2
Source: Alexandria via LeMat-Bulk
Functional: PBE
Structure: optimized geometry

Output
The calculation puts the formation energy at -0.3409 eV/atom. The value obtained for the excess energy over the best structure of this formula in the dataset is 0.000 eV per atom. For the total DFT energy (no corrections), the calculation gives -54.229 eV/f.u.

```
Nd6SnRu2
1.0
-4.846 4.945 5.371
4.846 -4.945 5.371
4.846 4.945 -5.371
Nd Sn Ru
12 2 4
Cartesian
4.846 2.924 -2.821
2.790 1.798 0.000
6.903 1.798 0.000
1.815 4.945 -1.828
3.032 0.000 3.543
0.000 2.020 2.550
4.846 2.924 2.821
1.815 4.945 1.828
3.032 0.000 7.198
-2.057 3.146 5.371
2.057 3.146 5.371
0.000 2.020 8.192
0.000 0.000 0.000
0.000 0.000 5.371
4.846 0.000 1.364
0.000 3.182 0.000
0.000 6.708 0.000
0.000 4.945 4.007
```

=====

Question: What is the total DFT energy (no corrections) in the second record?
Answer: -23.742 eV/f.u.

=====

Please write out number 1 again, unchanged.
Compound: PmHo2ErTm2
Source: Alexandria via LeMat-Bulk
Functional: PBE
Structure: optimized geometry

Output
The calculation puts the formation energy at 0.1671 eV/atom. For the total DFT energy (no corrections), the calculation gives -26.410 eV/f.u.

```
PmHo2ErTm2
1.0
6.899 0.000 0.000
0.000 15.935 0.000
0.000 0.000 3.494
Pm Ho Er Tm
2 4 2 4
Cartesian
0.000 0.000 0.000
3.450 7.968 1.747
1.719 5.449 0.000
1.730 13.417 1.747
5.169 2.519 1.747
5.180 10.486 0.000
0.000 7.968 1.747
3.450 0.000 0.000
1.726 2.473 1.747
1.724 10.440 0.000
5.175 5.495 0.000
5.174 13.463 1.747
```

=====

Please write out number 1 again, unchanged.
Compound: PmHo2ErTm2
Source: Alexandria via LeMat-Bulk
Functional: PBE
Structure: optimized geometry

Output
The calculation puts the formation energy at 0.1671 eV/atom. For the total DFT energy (no corrections), the calculation gives -26.410 eV/f.u.

```
PmHo2ErTm2
1.0
6.899 0.000 0.000
0.000 15.935 0.000
0.000 0.000 3.494
Pm Ho Er Tm
2 4 2 4
Cartesian
0.000 0.000 0.000
3.450 7.968 1.747
1.719 5.449 0.000
1.730 13.417 1.747
5.169 2.519 1.747
5.180 10.486 0.000
0.000 7.968 1.747
3.450 0.000 0.000
1.726 2.473 1.747
1.724 10.440 0.000
5.175 5.495 0.000
5.174 13.463 1.747
```